Crystalline PuVPb2O6 at its relaxed geometry, computed with PBE+U.

Values from the calculation:
Uncorrected energy (eV/atom): -7.8093

Unit cell a=5.8341 b=5.8873 c=10.0951 alpha=90.00 beta=125.22 gamma=90.00
Fractional positions:
Pu  0.0000  0.0000  0.0000
Pu  0.0000  0.5000  0.5000
V  0.5000  0.0000  0.5000
V  0.5000  0.5000  0.0000
Pb  0.2535  0.0225  0.7477
Pb  0.2535  0.4775  0.2477
Pb  0.7465  0.5225  0.7523
Pb  0.7465  0.9775  0.2523
O  0.1947  0.0103  0.2593
O  0.1947  0.4897  0.7593
O  0.2583  0.7047  0.0340
O  0.2583  0.7953  0.5340
O  0.3196  0.2181  0.0347
O  0.3196  0.2819  0.5347
O  0.6804  0.7181  0.4653
O  0.6804  0.7819  0.9653
O  0.7417  0.2047  0.4660
O  0.7417  0.2953  0.9660
O  0.8053  0.5103  0.2407
O  0.8053  0.9897  0.7407